Entry 1:
VASP calculation (PBE) on CsRb2ErCl6 after structural relaxation.

```
CsRb2ErCl6
1.0
8.3160 0.0011 0.0008
4.1589 7.1987 0.0010
4.1589 2.4018 6.7862
Cs Cl Rb Er
1 6 2 1
direct
0.5000 0.5000 0.5000
0.2223 0.2225 0.7775
0.2224 0.7776 0.7776
0.7777 0.2225 0.7775
0.7776 0.2224 0.2224
0.2223 0.7775 0.2225
0.7777 0.7775 0.2225
0.7501 0.7498 0.7498
0.2500 0.2501 0.2501
0.0000 0.0000 0.0000
```

Output
Crystal system: cubic
Total energy: -3.91 eV per atom

***

Entry 2:
VASP calculation (PBE) on Pr4Nd7Dy after structural relaxation.

```
Pr4Nd7Dy
1.0
-0.0566 1.8625 -5.8334
-8.5003 4.8686 -1.5774
-0.0037 8.8319 -0.3945
Pr Nd Dy
4 7 1
direct
0.5747 0.2985 0.5521
0.4253 0.7015 0.4479
0.6736 0.6120 0.0407
0.3264 0.3880 0.9593
0.7913 0.8744 0.5429
0.2087 0.1256 0.4571
0.0806 0.5656 0.2733
0.9194 0.4344 0.7267
0.2073 0.7780 0.8075
0.5000 0.0000 0.0000
0.7927 0.2220 0.1925
0.0000 0.0000 0.0000
```

Output
E_form: 2.46 eV per formula unit
Crystal system: monoclinic
Polymorph energy (0 for the lowest one): 192 meV per atom

***

Entry 3:
VASP calculation (PBE) on Na2La2Os after structural relaxation.

```
Na2La2Os
1.0
7.4146 0.0000 0.0000
0.0000 7.4146 0.0000
0.0000 0.0000 4.7026
Na Os La
4 2 4
direct
0.3794 0.8794 0.0000
0.8794 0.6206 0.0000
0.6206 0.1206 0.0000
0.1206 0.3794 0.0000
0.0000 0.0000 0.0000
0.5000 0.5000 0.0000
0.2046 0.7046 0.5000
0.7046 0.7954 0.5000
0.7954 0.2954 0.5000
0.2954 0.2046 0.5000
```

Output
E_form: 3.66 eV per formula unit
Crystal system: tetragonal
Polymorph energy (0 for the lowest one): 0 meV per atom

***

Entry 4:
VASP calculation (PBE) on RePb3Br after structural relaxation.

```
RePb3Br
1.0
5.6150 0.0000 0.0000
0.0000 5.6150 0.0000
0.0000 0.0000 5.6150
Pb Re Br
3 1 1
direct
0.0000 0.5000 0.0000
0.0000 0.0000 0.5000
0.5000 0.0000 0.0000
0.5000 0.5000 0.5000
0.0000 0.0000 0.0000
```

Output
Crystal system: cubic
Polymorph energy (0 for the lowest one): 1463 meV per atom

***

Entry 5:
VASP calculation (PBE) on AcNpOs4 after structural relaxation.

```
AcNpOs4
1.0
-1.9202 -3.1467 -4.0102
-2.8011 -4.5182 1.1872
-5.3565 -0.2161 -0.9650
Np Ac Os
1 1 4
direct
0.0000 0.0000 0.0000
0.2500 0.2500 0.2500
0.6258 0.6258 0.1226
0.6258 0.1226 0.6258
0.6258 0.6258 0.6258
0.1226 0.6258 0.6258
```

Output
E_form: 0.90 eV per formula unit
Crystal system: cubic

***

Entry 6:
VASP calculation (PBE) on RbNa2O4 after structural relaxation.

```
RbNa2O4
1.0
6.6856 -0.9554 4.7819
1.8536 3.9325 0.1534
2.2131 -1.7404 10.0205
Rb Na O
2 4 8
direct
0.5420 0.7805 0.1336
0.0492 0.8551 0.0057
0.2383 0.6121 0.5690
0.7805 0.3117 0.6883
0.0591 0.3309 0.2528
0.5561 0.9894 0.5724
0.9070 0.1347 0.8310
0.6900 0.5683 0.3141
0.4017 0.1811 0.8783
0.6129 0.4504 0.4790
0.4553 0.8965 0.9222
0.1104 0.5485 0.4286
0.0910 0.2628 0.7704
0.0064 0.8280 0.4045
```

Output
Crystal system: triclinic
Total energy: -4.29 eV per atom

***

Entry 7:
VASP calculation (PBE) on Ca2ErTl after structural relaxation.

```
Ca2ErTl
1.0
4.1707 0.0000 0.0000
0.0000 4.1707 0.0000
0.0000 0.0000 7.3338
Tl Ca Er
1 2 1
direct
0.5000 0.5000 0.0000
0.0000 0.0000 0.7648
0.0000 0.0000 0.2352
0.5000 0.5000 0.5000
```

Output
E_form: -0.34 eV per formula unit
Crystal system: tetragonal
Polymorph energy (0 for the lowest one): 73 meV per atom

***

Entry 8:
VASP calculation (PBE) on SrLaH6Pd2 after structural relaxation.

```
SrLaH6Pd2
1.0
6.4155 -0.3293 0.0366
-1.1123 6.3269 0.0366
-1.4584 -1.6493 6.1366
Sr La H Pd
2 2 12 4
direct
0.5792 0.4208 0.2500
0.4208 0.5792 0.7500
0.1582 0.8418 0.2500
0.8418 0.1582 0.7500
0.9173 0.4284 0.1154
0.5716 0.0827 0.3846
0.0827 0.5716 0.8846
0.4284 0.9173 0.6154
0.1960 0.1407 0.0066
0.8593 0.8040 0.4934
0.8040 0.8593 0.9934
0.1407 0.1960 0.5066
0.2788 0.5463 0.3665
0.4537 0.7212 0.1335
0.7212 0.4537 0.6335
0.5463 0.2788 0.8665
0.3152 0.0502 0.8064
0.9498 0.6848 0.6936
0.6848 0.9498 0.1936
0.0502 0.3152 0.3064
```

Output
Crystal system: monoclinic
Total energy: -4.20 eV per atom

***

Entry 9:
VASP calculation (PBE) on Mg2CdCoH after structural relaxation.

```
Mg2CdCoH
1.0
4.6281 0.0000 0.0000
0.0000 4.6281 0.0000
0.0000 0.0000 3.2980
H Mg Co Cd
1 2 1 1
direct
0.0000 0.0000 0.0000
0.0000 0.5000 0.0000
0.5000 0.0000 0.0000
0.0000 0.0000 0.5000
0.5000 0.5000 0.5000
```

Output
Crystal system: tetragonal
Total energy: -2.93 eV per atom

***

Entry 10:
VASP calculation (PBE) on KWC2 after structural relaxation.

```
KWC2
1.0
0.0000 2.9268 2.9268
2.9268 0.0000 2.9268
2.9268 2.9268 0.0000
K C W
1 2 1
direct
0.0000 0.0000 0.0000
0.2500 0.2500 0.2500
0.7500 0.7500 0.7500
0.5000 0.5000 0.5000
```

Output
E_form: 10.27 eV per formula unit
Crystal system: cubic
Polymorph energy (0 for the lowest one): 1932 meV per atom

***

Entry 11:
VASP calculation (PBE) on AsIrPt2 after structural relaxation.

```
AsIrPt2
1.0
2.8025 0.0025 0.0000
-1.4217 2.4151 0.0000
0.0000 0.0000 9.4386
As Ir Pt
1 1 2
direct
0.0000 0.0000 0.5122
0.5000 0.5000 0.7443
0.0000 0.0000 0.9936
0.5000 0.5000 0.2500
```

Output
E_form: 0.77 eV per formula unit
Crystal system: orthorhombic

***

Entry 12:
VASP calculation (PBE) on Nd3YTm7 after structural relaxation.

```
Nd3YTm7
1.0
4.6469 -0.1020 -2.8942
-1.0761 9.7378 -2.0714
-1.0137 -0.7835 8.7541
Nd Y Tm
3 1 7
direct
0.2847 0.0024 0.7851
0.0000 0.5000 0.0000
0.7153 0.9976 0.2149
0.5000 0.5000 0.5000
0.9096 0.8299 0.9094
0.8580 0.7109 0.3580
0.6827 0.3617 0.1829
0.3173 0.6383 0.8171
0.5000 0.0000 0.5000
0.1420 0.2891 0.6420
0.0904 0.1701 0.0906
```

Output
E_form: 1.75 eV per formula unit
Crystal system: monoclinic
Polymorph energy (0 for the lowest one): 0 meV per atom